Here is CeInSbRh3 after structural relaxation from Alexandria via LeMat-Bulk. Energies are from PBE.

Structure (POSCAR):
```
CeInSbRh3
1.0
-0.1741 -3.3404 4.5677
0.7566 -4.4985 -3.2609
8.2141 3.0385 2.5352
Rh In Ce Sb
6 2 2 2
direct
0.2500 0.2591 0.5182
0.0000 0.2407 0.0000
0.5000 0.2407 0.0000
0.0000 0.7593 0.0000
0.7500 0.7409 0.4818
0.5000 0.7593 0.0000
0.7500 0.8932 0.7863
0.2500 0.1068 0.2137
0.7500 0.2339 0.4678
0.2500 0.7661 0.5322
0.2500 0.4085 0.8170
0.7500 0.5915 0.1830
```

Summary:
Magnetization (μB/f.u.): 0.78
E_form (uncorrected) (eV/atom): -0.410
Electronic total energy (Ha/atom): -0.2285
N(E_F) (states/eV/atom): 1.4973
SG: Cmcm (63)

***

Here is KOsRh2 after structural relaxation from Alexandria via LeMat-Bulk. Energies are from PBE.

Structure (POSCAR):
```
KOsRh2
1.0
-1.9466 -1.9391 -0.3242
3.4568 -3.2870 -1.0950
0.3823 -1.1755 4.7355
Rh Os K
2 1 1
direct
0.0000 0.5000 0.5000
0.0000 0.0000 0.0000
0.5000 0.0000 0.5000
0.5000 0.5000 0.0000
```

Summary:
Magnetization (μB/f.u.): 0.00
Electronic total energy (Ha/atom): -0.2128
Formation enthalpy at 0 K (eV per atom): 0.967
Polymorph energy (0 for the lowest one) (meV/atom): 528
N(E_F) (states/eV/atom): 1.4131
SG: P4/mmm (123)

***

Here is NdPaSe2O after structural relaxation from Alexandria via LeMat-Bulk. Energies are from PBE.

Structure (POSCAR):
```
NdPaSe2O
1.0
-1.7021 3.2661 1.6744
-1.8578 -2.3585 2.7120
11.0388 1.2976 8.6904
Nd Se Pa O
2 4 2 2
direct
0.0000 0.5000 0.4154
0.5000 0.0000 0.5846
0.5000 0.0000 0.2965
0.0000 0.5000 0.7035
0.5000 0.0000 0.8898
0.0000 0.5000 0.1102
0.5000 0.0000 0.1031
0.0000 0.5000 0.8969
0.0000 0.0000 0.5000
0.5000 0.5000 0.5000
```

Summary:
Magnetization (μB/f.u.): 0.50
E_form (uncorrected) (eV/atom): -2.145
Electronic total energy (Ha/atom): -0.2713
N(E_F) (states/eV/atom): 0.6706
SG: P4/nmm (129)

***

Here is LiCuAgAs after structural relaxation from Alexandria via LeMat-Bulk. Energies are from PBE.

Structure (POSCAR):
```
LiCuAgAs
1.0
-3.7537 -2.3025 -0.3241
-1.7721 -1.8510 3.5959
-3.7379 1.6202 1.7030
Ag Cu Li As
1 1 1 1
direct
0.0000 0.0000 0.0000
0.2500 0.2500 0.2500
0.7500 0.7500 0.7500
0.5000 0.5000 0.5000
```

Summary:
Magnetization (μB/f.u.): 0.00
Electronic total energy (Ha/atom): -0.1297
Formation enthalpy at 0 K (eV per atom): -0.150
N(E_F) (states/eV/atom): 0.4748
SG: F-43m (216)

***

Here is SrW2Br after structural relaxation from Alexandria via LeMat-Bulk. Energies are from PBE.

Structure (POSCAR):
```
SrW2Br
1.0
-1.3907 -1.6463 -2.5480
2.7475 0.7122 -1.9598
4.9486 -6.5355 1.5217
W Br Sr
2 1 1
direct
0.5000 0.4675 0.1895
0.0000 0.0322 0.0600
0.0000 0.3170 0.4923
0.5000 0.6834 0.7583
```

Summary:
Magnetization (μB/f.u.): 0.00
E_form (uncorrected) (eV/atom): 0.232
Electronic total energy (Ha/atom): -0.2603
Polymorph energy (0 for the lowest one) (meV/atom): 0
N(E_F) (states/eV/atom): 0.6270
SG: Amm2 (38)

***

Here is Ca3Cr2N4 after structural relaxation from Alexandria via LeMat-Bulk. Energies are from PBE.

Structure (POSCAR):
```
Ca3Cr2N4
1.0
-5.3419 -1.2939 4.0094
2.1475 -4.8320 4.2808
1.5984 3.6618 3.6304
N Cr Ca
8 4 6
direct
0.7341 0.5945 0.4148
0.9445 0.2980 0.9729
0.7020 0.0555 0.5271
0.2659 0.4055 0.5852
0.4055 0.2659 0.0852
0.5945 0.7341 0.9148
0.2980 0.9445 0.4729
0.0555 0.7020 0.0271
0.8291 0.5819 0.0839
0.5819 0.8291 0.5839
0.4181 0.1709 0.4161
0.1709 0.4181 0.9161
0.2504 0.9833 0.9574
0.9833 0.2504 0.4574
0.0167 0.7496 0.5426
0.3997 0.6003 0.2500
0.7496 0.0167 0.0426
0.6003 0.3997 0.7500
```

Summary:
Magnetization (μB/f.u.): 3.25
E_form (uncorrected) (eV/atom): -0.743
Electronic total energy (Ha/atom): -0.2664
Polymorph energy (0 for the lowest one) (meV/atom): 94
N(E_F) (states/eV/atom): 0.4887
SG: C2/c (15)